Cr2HgSe4 | meta-GGA SCAN | PBEsol geometry

Cell lengths 7.565, 7.565, 7.565 Å; angles 60.00, 60.00, 60.00 degrees
Positions (direct):
Cr: 0.000 0.000 0.000
Cr: 0.000 0.000 0.500
Cr: 0.000 0.500 0.000
Cr: 0.500 0.000 0.000
Hg: 0.375 0.375 0.375
Hg: 0.625 0.625 0.625
Se: 0.201 0.766 0.766
Se: 0.234 0.234 0.234
Se: 0.234 0.234 0.799
Se: 0.234 0.799 0.234
Se: 0.766 0.201 0.766
Se: 0.766 0.766 0.201
Se: 0.766 0.766 0.766
Se: 0.799 0.234 0.234


CrHg2Se | meta-GGA SCAN | PBEsol geometry

Cell lengths 3.161, 3.161, 8.014 Å; angles 90.00, 90.00, 90.00 degrees
Positions (direct):
Cr: 0.000 0.000 0.000
Hg: 0.500 0.500 0.227
Hg: 0.500 0.500 0.773
Se: 0.000 0.000 0.500


| no. | ΔE_f (raw) (eV per atom) | DOS at the Fermi energy (states/eV per cell) | mass density (kg/m3) |
| --- | --- | --- | --- |
| 1 | -0.7239 | 0.80 | 6730 |
| 2 | 0.2259 | 1.72 | 11036 |